Entry from Alexandria via LeMat-Bulk: a relaxed Li8FeO6 crystal (GGA-PBEsol).

POSCAR file:
```
Li8FeO6
1.0
5.229 0.000 0.000
-2.262 4.762 0.000
-0.017 -2.897 4.921
Li Fe O
8 1 6
direct
0.015 0.244 0.143 Li
0.124 0.809 0.478 Li
0.271 0.371 0.857 Li
0.399 0.920 0.164 Li
0.601 0.080 0.836 Li
0.729 0.629 0.143 Li
0.876 0.191 0.522 Li
0.985 0.756 0.857 Li
0.500 0.500 0.500 Fe
0.091 0.001 0.257 O
0.286 0.656 0.733 O
0.396 0.624 0.272 O
0.604 0.376 0.728 O
0.714 0.344 0.267 O
0.909 0.999 0.743 O
```

## Properties
- V: 122.5 Å³/f.u.
- Final energy: -5.506 eV per atom
- Density: 2.81 g cm⁻³
- Raw formation energy: -1.759 eV/atom